Record 1
DFT (PBE-GGA) results for a relaxed structure of KHf2Pd.

Lattice parameters (Å, degrees): 5.685 5.685 17.751 90.00 90.00 90.00
Fractional coordinates of all 16 atoms:
K1 0.000 0.250 0.375
K2 0.000 0.750 0.625
K3 0.500 0.250 0.125
K4 0.500 0.750 0.875
Hf1 0.000 0.000 0.000
Hf2 0.000 0.500 0.000
Hf3 0.250 0.250 0.750
Hf4 0.250 0.750 0.250
Hf5 0.500 0.000 0.500
Hf6 0.500 0.500 0.500
Hf7 0.750 0.250 0.750
Hf8 0.750 0.750 0.250
Pd1 0.000 0.250 0.875
Pd2 0.000 0.750 0.125
Pd3 0.500 0.250 0.625
Pd4 0.500 0.750 0.375

Output
Calculated formation energy   22.388 kcal/mol of atoms
Space-group type   I4_1/amd, No. 141
M_tot   0.00 μB per cell
N(E_F)   6.358 states/eV/f.u.

---

Record 2
DFT (PBE-GGA) results for a relaxed structure of Re2AuSe.

Lattice parameters (Å, degrees): 2.915 4.719 4.810 90.00 90.00 90.00
Fractional coordinates of all 4 atoms:
Re1 0.000 0.000 0.000
Re2 0.500 0.500 0.000
Au1 0.000 0.500 0.500
Se1 0.500 0.000 0.500

Output
Formation energy from raw total energies   0.925 eV per atom
Space-group type   Pmmm, No. 47
M_tot   0.00 μB per cell
N(E_F)   3.869 states/eV/f.u.

---

Question: Look up the N(E_F) of the second one.
Answer: 3.869 states/eV/f.u.

---

Question: What is the formula in the first record?
Answer: KHf2Pd